Here is a relaxed structure of CaSmCoO4 from the Alexandria database. Energies are from PBEsol.

Cell lengths 6.364, 6.364, 5.340 Å; angles 90.00, 90.00, 132.34 degrees
Fractional coordinates of all 14 atoms:
Ca1 0.104 0.896 0.500
Ca2 0.896 0.104 0.000
Sm1 0.386 0.614 0.528
Sm2 0.614 0.386 0.028
Co1 0.251 0.749 0.013
Co2 0.749 0.251 0.513
O1 0.018 0.472 0.256
O2 0.088 0.912 0.060
O3 0.420 0.580 0.966
O4 0.472 0.018 0.756
O5 0.528 0.982 0.256
O6 0.580 0.420 0.466
O7 0.912 0.088 0.560
O8 0.982 0.528 0.756

Calculated values
Symmetry = Cmc2_1, No. 36
Theoretical density = 6.51 g/cm3
Uncorrected formation energy = -2.48 eV per atom